This record from the Alexandria database describes ZrAl2 after structural relaxation. The functional is PBE.

## Properties
**ΔH_f (0 K)**: -375 meV per atom
**Symmetry**: Cmcm, No. 63
**Uncorrected energy**: -5.7197 eV/atom

a = 4.126 Å, b = 13.728 Å, c = 3.937 Å
α = 90.00°, β = 90.00°, γ = 90.00°
Fractional coordinates of all 12 atoms:
Zr (0.000, 0.087, 0.250)
Zr (0.000, 0.913, 0.750)
Zr (0.500, 0.413, 0.750)
Zr (0.500, 0.587, 0.250)
Al (0.000, 0.252, 0.750)
Al (0.000, 0.422, 0.250)
Al (0.000, 0.578, 0.750)
Al (0.000, 0.748, 0.250)
Al (0.500, 0.078, 0.750)
Al (0.500, 0.248, 0.250)
Al (0.500, 0.752, 0.750)
Al (0.500, 0.922, 0.250)